1.
Material: PrSm2Zr
Method: DFT, PBE
State: relaxed

abc: 5.0012 4.9650 4.9650
angles: 90.00 90.00 90.00
Element x y z (fractional)
Pr 0.5000 0.5000 0.5000
Sm 0.0000 0.5000 0.0000
Sm 0.0000 0.0000 0.5000
Zr 0.5000 0.0000 0.0000

Values from the calculation:
Calculated volume, Å³/atom: 30.82

2.
Material: PrSm2Zr
Method: DFT, PBE
State: relaxed

abc: 3.5384 3.5384 11.6855
angles: 81.29 81.29 60.00
Element x y z (fractional)
Zr 0.5002 0.5002 0.4995
Pr 0.6669 0.6669 0.9994
Sm 0.2436 0.2436 0.2691
Sm 0.0893 0.0893 0.7320

Values from the calculation:
Calculated volume, Å³/atom: 31.19

3.
Material: PrSmZr2
Method: DFT, PBE
State: relaxed

abc: 4.9525 4.7536 4.7536
angles: 90.00 90.00 90.00
Element x y z (fractional)
Zr 0.0000 0.0000 0.5000
Zr 0.0000 0.5000 0.0000
Sm 0.5000 0.5000 0.5000
Pr 0.5000 0.0000 0.0000

Values from the calculation:
Calculated volume, Å³/atom: 27.98

It is found that the calculated formation energy values, taken in the order of the records, are 0.1355, 0.1045, 0.2020 eV per atom.
It is found that the size of the total moment values, taken in the order of the records, are 0.000, 0.000, 0.000 μB/cell.